*1*
# PBE NiAsW, optimized geometry
# **Volume**: 41.7 Å³ per cell
# **N(E_F)**: 2.77 states/eV/f.u.
data_NiAsW
_cell_length_a 4.1367
_cell_length_b 4.1367
_cell_length_c 2.8163
_cell_angle_alpha 90.00
_cell_angle_beta 90.00
_cell_angle_gamma 120.00
_symmetry_space_group_name_H-M 'P -6 m 2'
_symmetry_Int_Tables_number 187
_symmetry_space_group_name_Hall 'P -6 2'
loop_
_atom_site_label
_atom_site_type_symbol
_atom_site_fract_x
_atom_site_fract_y
_atom_site_fract_z
_atom_site_occupancy
Ni1 Ni 0.0000 0.0000 0.0000 1
As1 As 0.3333 0.6667 0.0000 1
W1 W 0.6667 0.3333 0.5000 1


*2*
# PBE NiAsW, optimized geometry
# **Volume**: 202.9 Å³ per cell
# **N(E_F)**: 2.45 states/eV/f.u.
data_NiAsW
_cell_length_a 5.8761
_cell_length_b 5.8761
_cell_length_c 5.8761
_cell_angle_alpha 90.00
_cell_angle_beta 90.00
_cell_angle_gamma 90.00
_symmetry_space_group_name_H-M 'F -4 3 m'
_symmetry_Int_Tables_number 216
_symmetry_space_group_name_Hall 'F -4 2 3'
loop_
_atom_site_label
_atom_site_type_symbol
_atom_site_fract_x
_atom_site_fract_y
_atom_site_fract_z
_atom_site_occupancy
Ni1 Ni 0.0000 0.0000 0.0000 1
As1 As 0.0000 0.0000 0.5000 1
W1 W 0.2500 0.2500 0.2500 1


Which of them is the most stable, and which is the least stable? *1* and *2*, in that order.


*1*
# PBE NiAsW, optimized geometry
# **Volume**: 85.3 Å³ per cell
# **N(E_F)**: 2.39 states/eV/f.u.
data_NiAsW
_cell_length_a 3.2295
_cell_length_b 3.2295
_cell_length_c 8.1778
_cell_angle_alpha 90.00
_cell_angle_beta 90.00
_cell_angle_gamma 90.00
_symmetry_space_group_name_H-M 'P 4/m m m'
_symmetry_Int_Tables_number 123
_symmetry_space_group_name_Hall '-P 4 2'
loop_
_atom_site_label
_atom_site_type_symbol
_atom_site_fract_x
_atom_site_fract_y
_atom_site_fract_z
_atom_site_occupancy
Ni1 Ni 0.0000 0.0000 0.1496 1
As1 As 0.5000 0.5000 0.3198 1
W1 W 0.0000 0.0000 0.5000 1
W2 W 0.5000 0.5000 0.0000 1


*2*
# PBE NiAsW, optimized geometry
# **Volume**: 189.3 Å³ per cell
# **N(E_F)**: 1.89 states/eV/f.u.
data_NiAsW
_cell_length_a 5.7415
_cell_length_b 5.7415
_cell_length_c 5.7415
_cell_angle_alpha 90.00
_cell_angle_beta 90.00
_cell_angle_gamma 90.00
_symmetry_space_group_name_H-M 'F -4 3 m'
_symmetry_Int_Tables_number 216
_symmetry_space_group_name_Hall 'F -4 2 3'
loop_
_atom_site_label
_atom_site_type_symbol
_atom_site_fract_x
_atom_site_fract_y
_atom_site_fract_z
_atom_site_occupancy
Ni1 Ni 0.0000 0.0000 0.0000 1
As1 As 0.2500 0.2500 0.7500 1
W1 W 0.0000 0.0000 0.5000 1


Which of them is the most stable, and which is the least stable? *1* and *2*, in that order.


*1*
# PBE NiAsW, optimized geometry
# **Volume**: 43.7 Å³ per cell
# **N(E_F)**: 2.61 states/eV/f.u.
data_NiAsW
_cell_length_a 2.8597
_cell_length_b 2.8597
_cell_length_c 6.1682
_cell_angle_alpha 90.00
_cell_angle_beta 90.00
_cell_angle_gamma 120.00
_symmetry_space_group_name_H-M 'P 3 m 1'
_symmetry_Int_Tables_number 156
loop_
_symmetry_equiv_pos_as_xyz
'x,y,z'
'-y,x-y,z'
'-x+y,-x,z'
'-y,-x,z'
'-x+y,y,z'
'x,x-y,z'
loop_
_atom_site_label
_atom_site_type_symbol
_atom_site_fract_x
_atom_site_fract_y
_atom_site_fract_z
_atom_site_occupancy
Ni1 Ni 0.0000 0.0000 0.0000 1
As1 As 0.3333 0.6667 0.6871 1
W1 W 0.6667 0.3333 0.3308 1


*2*
# PBE NiAsW, optimized geometry
# **Volume**: 84.4 Å³ per cell
# **N(E_F)**: 3.17 states/eV/f.u.
data_NiAsW
_cell_length_a 3.1045
_cell_length_b 3.1045
_cell_length_c 8.7601
_cell_angle_alpha 90.00
_cell_angle_beta 90.00
_cell_angle_gamma 90.00
_symmetry_space_group_name_H-M 'I 4 m m'
_symmetry_Int_Tables_number 107
_symmetry_space_group_name_Hall 'I 4 -2'
loop_
_atom_site_label
_atom_site_type_symbol
_atom_site_fract_x
_atom_site_fract_y
_atom_site_fract_z
_atom_site_occupancy
Ni1 Ni 0.0000 0.0000 0.0000 1
As1 As 0.0000 0.0000 0.6494 1
W1 W 0.0000 0.0000 0.3244 1


Which of them is the most stable, and which is the least stable? *2* and *1*, in that order.


*1*
# PBE YNi4As2, optimized geometry
# **Volume**: 199.3 Å³ per cell
# **N(E_F)**: 3.85 states/eV/f.u.
data_YNi4As2
_cell_length_a 7.2599
_cell_length_b 7.2599
_cell_length_c 3.7821
_cell_angle_alpha 90.00
_cell_angle_beta 90.00
_cell_angle_gamma 90.00
_symmetry_space_group_name_H-M 'P 42/m n m'
_symmetry_Int_Tables_number 136
_symmetry_space_group_name_Hall '-P 4n 2n'
loop_
_atom_site_label
_atom_site_type_symbol
_atom_site_fract_x
_atom_site_fract_y
_atom_site_fract_z
_atom_site_occupancy
Y1 Y 0.0000 0.0000 0.0000 1
Ni1 Ni 0.0883 0.3465 0.5000 1
As1 As 0.2185 0.7815 0.5000 1


*2*
# PBE YNi4As2, optimized geometry
# **Volume**: 306.5 Å³ per cell
# **N(E_F)**: 4.72 states/eV/f.u.
data_YNi4As2
_cell_length_a 4.0181
_cell_length_b 4.0181
_cell_length_c 21.9233
_cell_angle_alpha 90.00
_cell_angle_beta 90.00
_cell_angle_gamma 120.00
_symmetry_space_group_name_H-M 'R -3 m'
_symmetry_Int_Tables_number 166
_symmetry_space_group_name_Hall '-R 3 2"'
loop_
_atom_site_label
_atom_site_type_symbol
_atom_site_fract_x
_atom_site_fract_y
_atom_site_fract_z
_atom_site_occupancy
Y1 Y 0.0000 0.0000 0.0000 1
Ni1 Ni 0.0000 0.0000 0.1424 1
Ni2 Ni 0.0000 0.0000 0.4365 1
As1 As 0.0000 0.0000 0.2500 1


Which of them is the most stable, and which is the least stable? *1* and *2*, in that order.


*1*
# PBE Zn2Ni2As, optimized geometry
# **Volume**: 139.0 Å³ per cell
# **N(E_F)**: 3.37 states/eV/f.u.
data_Zn2Ni2As
_cell_length_a 6.1068
_cell_length_b 6.1068
_cell_length_c 3.7269
_cell_angle_alpha 90.00
_cell_angle_beta 90.00
_cell_angle_gamma 90.00
_symmetry_space_group_name_H-M 'P 4/m b m'
_symmetry_Int_Tables_number 127
_symmetry_space_group_name_Hall '-P 4 2ab'
loop_
_atom_site_label
_atom_site_type_symbol
_atom_site_fract_x
_atom_site_fract_y
_atom_site_fract_z
_atom_site_occupancy
Zn1 Zn 0.1497 0.3503 0.0000 1
Ni1 Ni 0.1511 0.6511 0.5000 1
As1 As 0.0000 0.0000 0.5000 1


*2*
# PBE Zn2Ni2As, optimized geometry
# **Volume**: 138.3 Å³ per cell
# **N(E_F)**: 2.46 states/eV/f.u.
data_Zn2Ni2As
_cell_length_a 7.1615
_cell_length_b 7.1615
_cell_length_c 2.6957
_cell_angle_alpha 90.00
_cell_angle_beta 90.00
_cell_angle_gamma 90.00
_symmetry_space_group_name_H-M 'P 4/m b m'
_symmetry_Int_Tables_number 127
_symmetry_space_group_name_Hall '-P 4 2ab'
loop_
_atom_site_label
_atom_site_type_symbol
_atom_site_fract_x
_atom_site_fract_y
_atom_site_fract_z
_atom_site_occupancy
Zn1 Zn 0.1283 0.3717 0.0000 1
Ni1 Ni 0.1672 0.6672 0.5000 1
As1 As 0.0000 0.0000 0.0000 1


Which of them is the most stable, and which is the least stable? *1* and *2*, in that order.


*1*
# PBE Np2AsO, optimized geometry
# **Volume**: 226.4 Å³ per cell
# **N(E_F)**: 10.50 states/eV/f.u.
data_Np2AsO
_cell_length_a 3.7475
_cell_length_b 3.7475
_cell_length_c 18.6179
_cell_angle_alpha 90.00
_cell_angle_beta 90.00
_cell_angle_gamma 120.00
_symmetry_space_group_name_H-M 'R -3 m'
_symmetry_Int_Tables_number 166
_symmetry_space_group_name_Hall '-R 3 2"'
loop_
_atom_site_label
_atom_site_type_symbol
_atom_site_fract_x
_atom_site_fract_y
_atom_site_fract_z
_atom_site_occupancy
Np1 Np 0.0000 0.0000 0.2340 1
As1 As 0.0000 0.0000 0.0000 1
O1 O 0.0000 0.0000 0.5000 1


*2*
# PBE Np2AsO, optimized geometry
# **Volume**: 71.3 Å³ per cell
# **N(E_F)**: 8.68 states/eV/f.u.
data_Np2AsO
_cell_length_a 3.2649
_cell_length_b 3.2649
_cell_length_c 6.6877
_cell_angle_alpha 90.00
_cell_angle_beta 90.00
_cell_angle_gamma 90.00
_symmetry_space_group_name_H-M 'P 4/m m m'
_symmetry_Int_Tables_number 123
_symmetry_space_group_name_Hall '-P 4 2'
loop_
_atom_site_label
_atom_site_type_symbol
_atom_site_fract_x
_atom_site_fract_y
_atom_site_fract_z
_atom_site_occupancy
Np1 Np 0.0000 0.0000 0.2252 1
As1 As 0.5000 0.5000 0.5000 1
O1 O 0.5000 0.5000 0.0000 1


Which of them is the most stable, and which is the least stable? *1* and *2*, in that order.